Compound: ZnCoTc2O8
Source: the Alexandria database
Functional: GGA+U
Structure: relaxed

Results
VASP energy: -0.493 Ry per atom

abc: 6.5310 6.5310 7.3682
angles: 90.00 90.00 90.00
With the nearest neighbours (Å) after each atom.
Space group I-4m2 (No. 119)
Asymmetric unit:
Zn (0.0000, 0.0000, 0.0000) (multiplicity 2)  4 O 1.99
Co (0.0000, 0.5000, 0.7500) (multiplicity 2)  4 O 1.99
Tc (0.0000, 0.0000, 0.5000) (multiplicity 2)  4 O 1.79
Tc (0.0000, 0.5000, 0.2500) (multiplicity 2)  4 O 1.79
O (0.0000, 0.2200, 0.6444) (multiplicity 8)  1 Tc 1.79, 1 Co 1.99
O (0.0000, 0.2814, 0.1043) (multiplicity 8)  1 Tc 1.79, 1 Zn 1.99